Entry 1:
CoAsPdBr2 | SCAN | single point on PBEsol structure

## Properties
**SG**: P4/mmm (123)
**ΔE_f (raw)**: 677 meV per atom
**E_tot**: -105.80 eV per cell
**Fermi-level density of states**: 3.1 states/eV/cell
**Magnetization**: 2.01 μB/f.u.

abc: 5.009 5.009 4.813
angles: 90.00 90.00 90.00
Fractional coordinates of all 5 atoms:
1 Co 0.000 0.000 0.000
2 As 0.500 0.500 0.000
3 Pd 0.500 0.500 0.500
4 Br 0.000 0.500 0.500
5 Br 0.500 0.000 0.500

=====

Entry 2:
RbCoAsBr2 | SCAN | single point on PBEsol structure

## Properties
**SG**: P4/mmm (123)
**ΔE_f (raw)**: -445 meV per atom
**E_tot**: -99.38 eV per cell
**Fermi-level density of states**: 1.6 states/eV/cell
**Magnetization**: 0.00 μB/f.u.

abc: 5.299 5.299 4.352
angles: 90.00 90.00 90.00
Fractional coordinates of all 5 atoms:
1 Rb 0.000 0.000 0.000
2 Co 0.500 0.500 0.500
3 As 0.500 0.500 0.000
4 Br 0.000 0.500 0.500
5 Br 0.500 0.000 0.500

=====

Entry 3:
CoAs2SBr | SCAN | single point on PBEsol structure

## Properties
**SG**: P4/mmm (123)
**ΔE_f (raw)**: 633 meV per atom
**E_tot**: -83.61 eV per cell
**Fermi-level density of states**: 4.5 states/eV/cell
**Magnetization**: 0.00 μB/f.u.

abc: 4.519 4.519 4.660
angles: 90.00 90.00 90.00
Fractional coordinates of all 5 atoms:
1 Co 0.000 0.000 0.000
2 As 0.000 0.500 0.000
3 As 0.500 0.000 0.000
4 S 0.500 0.500 0.500
5 Br 0.000 0.000 0.500

=====

Entry 4:
CoAsSe2Br | SCAN | single point on PBEsol structure

## Properties
**SG**: P4/mmm (123)
**ΔE_f (raw)**: 717 meV per atom
**E_tot**: -93.52 eV per cell
**Fermi-level density of states**: 3.6 states/eV/cell
**Magnetization**: 2.74 μB/f.u.

abc: 5.019 5.019 4.960
angles: 90.00 90.00 90.00
Fractional coordinates of all 5 atoms:
1 Co 0.000 0.000 0.000
2 As 0.500 0.500 0.500
3 Se 0.000 0.500 0.500
4 Se 0.500 0.000 0.500
5 Br 0.500 0.500 0.000

=====

Entry 5:
CoAs2SeBr | SCAN | single point on PBEsol structure

## Properties
**SG**: P4/mmm (123)
**ΔE_f (raw)**: 1599 meV per atom
**E_tot**: -89.23 eV per cell
**Fermi-level density of states**: 4.2 states/eV/cell
**Magnetization**: 2.91 μB/f.u.

abc: 4.984 4.984 4.953
angles: 90.00 90.00 90.00
Fractional coordinates of all 5 atoms:
1 Co 0.000 0.000 0.000
2 As 0.000 0.500 0.500
3 As 0.500 0.000 0.500
4 Se 0.500 0.500 0.000
5 Br 0.500 0.500 0.500

=====

Entry 6:
CoSnAsBr2 | SCAN | single point on PBEsol structure

## Properties
**SG**: P4/mmm (123)
**ΔE_f (raw)**: 148 meV per atom
**E_tot**: -111.60 eV per cell
**Fermi-level density of states**: 3.4 states/eV/cell
**Magnetization**: 1.82 μB/f.u.

abc: 4.891 4.891 4.528
angles: 90.00 90.00 90.00
Fractional coordinates of all 5 atoms:
1 Co 0.000 0.000 0.000
2 Sn 0.500 0.500 0.500
3 As 0.000 0.000 0.500
4 Br 0.000 0.500 0.000
5 Br 0.500 0.000 0.000

=====

Entry 7:
CoTcAsBr2 | SCAN | single point on PBEsol structure

## Properties
**SG**: P4/mmm (123)
**ΔE_f (raw)**: 784 meV per atom
**E_tot**: -107.55 eV per cell
**Fermi-level density of states**: 2.1 states/eV/cell
**Magnetization**: 2.72 μB/f.u.

abc: 4.787 4.787 4.489
angles: 90.00 90.00 90.00
Fractional coordinates of all 5 atoms:
1 Co 0.000 0.000 0.000
2 Tc 0.500 0.500 0.500
3 As 0.000 0.000 0.500
4 Br 0.000 0.500 0.000
5 Br 0.500 0.000 0.000

=====

Entry 8:
CoTeAsBr2 | SCAN | single point on PBEsol structure

## Properties
**SG**: P4/mmm (123)
**ΔE_f (raw)**: 264 meV per atom
**E_tot**: -112.35 eV per cell
**Fermi-level density of states**: 2.4 states/eV/cell
**Magnetization**: 1.46 μB/f.u.

abc: 4.689 4.689 4.791
angles: 90.00 90.00 90.00
Fractional coordinates of all 5 atoms:
1 Co 0.000 0.000 0.000
2 Te 0.500 0.500 0.500
3 As 0.000 0.000 0.500
4 Br 0.000 0.500 0.000
5 Br 0.500 0.000 0.000

=====

Entry 9:
CoTeAs2Br | SCAN | single point on PBEsol structure

## Properties
**SG**: P4/mmm (123)
**ΔE_f (raw)**: 1210 meV per atom
**E_tot**: -108.35 eV per cell
**Fermi-level density of states**: 3.4 states/eV/cell
**Magnetization**: 3.33 μB/f.u.

abc: 5.276 5.276 5.407
angles: 90.00 90.00 90.00
Fractional coordinates of all 5 atoms:
1 Co 0.000 0.000 0.000
2 Te 0.500 0.500 0.500
3 As 0.000 0.500 0.500
4 As 0.500 0.000 0.500
5 Br 0.500 0.500 0.000

=====

Entry 10:
CoAs2WBr | SCAN | single point on PBEsol structure

## Properties
**SG**: P4/mmm (123)
**ΔE_f (raw)**: 954 meV per atom
**E_tot**: -142.06 eV per cell
**Fermi-level density of states**: 2.7 states/eV/cell
**Magnetization**: 2.69 μB/f.u.

abc: 4.793 4.793 5.125
angles: 90.00 90.00 90.00
Fractional coordinates of all 5 atoms:
1 Co 0.000 0.000 0.000
2 As 0.000 0.500 0.500
3 As 0.500 0.000 0.500
4 W 0.500 0.500 0.500
5 Br 0.500 0.500 0.000

=====

Entry 11:
ZnCoAs2Br | SCAN | single point on PBEsol structure

## Properties
**SG**: P4/mmm (123)
**ΔE_f (raw)**: 894 meV per atom
**E_tot**: -86.19 eV per cell
**Fermi-level density of states**: 3.6 states/eV/cell
**Magnetization**: 3.51 μB/f.u.

abc: 4.676 4.676 5.147
angles: 90.00 90.00 90.00
Fractional coordinates of all 5 atoms:
1 Zn 0.000 0.000 0.000
2 Co 0.500 0.500 0.500
3 As 0.000 0.500 0.000
4 As 0.500 0.000 0.000
5 Br 0.000 0.000 0.500

=====

Entry 12:
Cr2AsBr | SCAN | single point on PBEsol structure

## Properties
**SG**: C2/m (12)
**ΔE_f (raw)**: 209 meV per atom
**E_tot**: -151.17 eV per cell
**Fermi-level density of states**: 4.3 states/eV/cell
**Magnetization**: 0.00 μB/f.u.

abc: 8.348 3.053 6.968
angles: 90.00 123.53 90.00
Fractional coordinates of all 8 atoms:
1 Cr 0.215 0.000 0.370
2 Cr 0.285 0.500 0.630
3 Cr 0.715 0.500 0.370
4 Cr 0.785 0.000 0.630
5 As 0.000 0.000 0.500
6 As 0.500 0.500 0.500
7 Br 0.000 0.500 0.000
8 Br 0.500 0.000 0.000

=====

Entry 13:
CrAsBr | SCAN | single point on PBEsol structure

## Properties
**SG**: P3m1 (156)
**ΔE_f (raw)**: -352 meV per atom
**E_tot**: -59.09 eV per cell
**Fermi-level density of states**: 0.3 states/eV/cell
**Magnetization**: 2.02 μB/f.u.

abc: 3.602 3.602 5.646
angles: 90.00 90.00 120.00
Fractional coordinates of all 3 atoms:
1 Cr 0.000 0.000 0.000
2 As 0.333 0.667 0.801
3 Br 0.667 0.333 0.289

=====

Entry 14:
CrAs2Br | SCAN | single point on PBEsol structure

## Properties
**SG**: P4/mmm (123)
**ΔE_f (raw)**: 141 meV per atom
**E_tot**: -77.66 eV per cell
**Fermi-level density of states**: 2.1 states/eV/cell
**Magnetization**: 3.81 μB/f.u.

abc: 3.710 3.710 6.064
angles: 90.00 90.00 90.00
Fractional coordinates of all 4 atoms:
1 Cr 0.000 0.000 0.000
2 As 0.000 0.500 0.500
3 As 0.500 0.000 0.500
4 Br 0.500 0.500 0.000

=====

Entry 15:
CrGeAs2Br | SCAN | single point on PBEsol structure

## Properties
**SG**: P4/mmm (123)
**ΔE_f (raw)**: 404 meV per atom
**E_tot**: -95.29 eV per cell
**Fermi-level density of states**: 2.6 states/eV/cell
**Magnetization**: 2.21 μB/f.u.

abc: 4.575 4.575 5.184
angles: 90.00 90.00 90.00
Fractional coordinates of all 5 atoms:
1 Cr 0.000 0.000 0.000
2 Ge 0.500 0.500 0.500
3 As 0.000 0.500 0.000
4 As 0.500 0.000 0.000
5 Br 0.000 0.000 0.500

=====

Entry 16:
CrAsHBr2 | SCAN | single point on PBEsol structure

## Properties
**SG**: P4/mmm (123)
**E_tot**: -79.08 eV per cell
**Fermi-level density of states**: 2.7 states/eV/cell
**Magnetization**: 4.48 μB/f.u.

abc: 5.062 5.062 3.501
angles: 90.00 90.00 90.00
Fractional coordinates of all 5 atoms:
1 Cr 0.000 0.000 0.000
2 As 0.500 0.500 0.000
3 H 0.500 0.500 0.500
4 Br 0.000 0.500 0.500
5 Br 0.500 0.000 0.500

=====

Entry 17:
CrHgAs2Br | SCAN | single point on PBEsol structure

## Properties
**SG**: P4/mmm (123)
**ΔE_f (raw)**: 186 meV per atom
**E_tot**: -145.46 eV per cell
**Fermi-level density of states**: 1.3 states/eV/cell
**Magnetization**: 1.01 μB/f.u.

abc: 4.572 4.572 5.276
angles: 90.00 90.00 90.00
Fractional coordinates of all 5 atoms:
1 Cr 0.000 0.000 0.000
2 Hg 0.500 0.500 0.500
3 As 0.000 0.500 0.000
4 As 0.500 0.000 0.000
5 Br 0.000 0.000 0.500

=====

Entry 18:
LaCrAs2Br | SCAN | single point on PBEsol structure

## Properties
**SG**: P4/mmm (123)
**ΔE_f (raw)**: -723 meV per atom
**E_tot**: -124.95 eV per cell
**Fermi-level density of states**: 2.1 states/eV/cell
**Magnetization**: 3.12 μB/f.u.

abc: 4.719 4.719 5.024
angles: 90.00 90.00 90.00
Fractional coordinates of all 5 atoms:
1 La 0.000 0.000 0.000
2 Cr 0.500 0.500 0.500
3 As 0.000 0.500 0.500
4 As 0.500 0.000 0.500
5 Br 0.500 0.500 0.000

=====

Entry 19:
LiCrAsBr2 | SCAN | single point on PBEsol structure

## Properties
**SG**: P4/mmm (123)
**ΔE_f (raw)**: -465 meV per atom
**E_tot**: -82.21 eV per cell
**Fermi-level density of states**: 1.2 states/eV/cell
**Magnetization**: 1.99 μB/f.u.

abc: 5.186 5.186 4.641
angles: 90.00 90.00 90.00
Fractional coordinates of all 5 atoms:
1 Li 0.000 0.000 0.000
2 Cr 0.500 0.500 0.500
3 As 0.500 0.500 0.000
4 Br 0.000 0.500 0.500
5 Br 0.500 0.000 0.500

=====

Entry 20:
MgCrAsBr2 | SCAN | single point on PBEsol structure

## Properties
**SG**: P4/mmm (123)
**ΔE_f (raw)**: -231 meV per atom
**E_tot**: -83.62 eV per cell
**Fermi-level density of states**: 0.9 states/eV/cell
**Magnetization**: 2.87 μB/f.u.

abc: 4.977 4.977 4.893
angles: 90.00 90.00 90.00
Fractional coordinates of all 5 atoms:
1 Mg 0.000 0.000 0.000
2 Cr 0.500 0.500 0.500
3 As 0.500 0.500 0.000
4 Br 0.000 0.500 0.500
5 Br 0.500 0.000 0.500

=====

Entry 21:
CrAs2BrN | SCAN | single point on PBEsol structure

## Properties
**SG**: P4/mmm (123)
**ΔE_f (raw)**: 923 meV per atom
**E_tot**: -82.90 eV per cell
**Fermi-level density of states**: 2.5 states/eV/cell
**Magnetization**: 3.05 μB/f.u.

abc: 4.283 4.283 4.498
angles: 90.00 90.00 90.00
Fractional coordinates of all 5 atoms:
1 Cr 0.000 0.000 0.000
2 As 0.000 0.500 0.500
3 As 0.500 0.000 0.500
4 Br 0.500 0.500 0.000
5 N 0.500 0.500 0.500

=====

Entry 22:
CrAs2BrO | SCAN | single point on PBEsol structure

## Properties
**SG**: P4/mmm (123)
**ΔE_f (raw)**: 190 meV per atom
**E_tot**: -83.51 eV per cell
**Fermi-level density of states**: 2.7 states/eV/cell
**Magnetization**: 3.33 μB/f.u.

abc: 4.044 4.044 5.835
angles: 90.00 90.00 90.00
Fractional coordinates of all 5 atoms:
1 Cr 0.000 0.000 0.000
2 As 0.000 0.500 0.500
3 As 0.500 0.000 0.500
4 Br 0.500 0.500 0.000
5 O 0.500 0.500 0.500

=====

Entry 23:
CrReAsBr2 | SCAN | single point on PBEsol structure

## Properties
**SG**: P4/mmm (123)
**ΔE_f (raw)**: 744 meV per atom
**E_tot**: -144.87 eV per cell
**Fermi-level density of states**: 3.4 states/eV/cell
**Magnetization**: 3.71 μB/f.u.

abc: 5.143 5.143 4.685
angles: 90.00 90.00 90.00
Fractional coordinates of all 5 atoms:
1 Cr 0.000 0.000 0.000
2 Re 0.500 0.500 0.500
3 As 0.500 0.500 0.000
4 Br 0.000 0.500 0.500
5 Br 0.500 0.000 0.500

=====

Entry 24:
CrAs2SeBr | SCAN | single point on PBEsol structure

## Properties
**SG**: P4/mmm (123)
**ΔE_f (raw)**: 287 meV per atom
**Offset from the most stable computed form**: 0.00 kJ per mole of atoms
**E_tot**: -96.87 eV per cell
**Fermi-level density of states**: 3.2 states/eV/cell
**Magnetization**: 0.00 μB/f.u.

abc: 4.683 4.683 4.545
angles: 90.00 90.00 90.00
Fractional coordinates of all 5 atoms:
1 Cr 0.000 0.000 0.000
2 As 0.000 0.500 0.000
3 As 0.500 0.000 0.000
4 Se 0.000 0.000 0.500
5 Br 0.500 0.500 0.500

=====

Entry 25:
CrAs2SeBr | SCAN | single point on PBEsol structure

## Properties
**SG**: P4/mmm (123)
**ΔE_f (raw)**: 1195 meV per atom
**Offset from the most stable computed form**: 87.58 kJ per mole of atoms
**E_tot**: -92.33 eV per cell
**Fermi-level density of states**: 3.3 states/eV/cell
**Magnetization**: 2.92 μB/f.u.

abc: 5.037 5.037 4.973
angles: 90.00 90.00 90.00
Fractional coordinates of all 5 atoms:
1 Cr 0.000 0.000 0.000
2 As 0.000 0.500 0.500
3 As 0.500 0.000 0.500
4 Se 0.500 0.500 0.000
5 Br 0.500 0.500 0.500

=====

Entry 26:
CrSiAsBr2 | SCAN | single point on PBEsol structure

## Properties
**SG**: P4/mmm (123)
**ΔE_f (raw)**: 359 meV per atom
**E_tot**: -85.71 eV per cell
**Fermi-level density of states**: 2.4 states/eV/cell
**Magnetization**: 3.07 μB/f.u.

abc: 4.822 4.822 4.961
angles: 90.00 90.00 90.00
Fractional coordinates of all 5 atoms:
1 Cr 0.000 0.000 0.000
2 Si 0.500 0.500 0.500
3 As 0.000 0.000 0.500
4 Br 0.000 0.500 0.000
5 Br 0.500 0.000 0.000

=====

Entry 27:
SrCrAs2Br | SCAN | single point on PBEsol structure

## Properties
**SG**: P4/mmm (123)
**ΔE_f (raw)**: -664 meV per atom
**E_tot**: -103.82 eV per cell
**Fermi-level density of states**: 2.7 states/eV/cell
**Magnetization**: 2.52 μB/f.u.

abc: 4.662 4.662 5.419
angles: 90.00 90.00 90.00
Fractional coordinates of all 5 atoms:
1 Sr 0.000 0.000 0.000
2 Cr 0.500 0.500 0.500
3 As 0.000 0.500 0.500
4 As 0.500 0.000 0.500
5 Br 0.500 0.500 0.000

=====

Entry 28:
CrTcAs2Br | SCAN | single point on PBEsol structure

## Properties
**SG**: P4/mmm (123)
**ΔE_f (raw)**: 786 meV per atom
**E_tot**: -109.36 eV per cell
**Fermi-level density of states**: 2.7 states/eV/cell
**Magnetization**: 6.34 μB/f.u.

abc: 4.613 4.613 4.946
angles: 90.00 90.00 90.00
Fractional coordinates of all 5 atoms:
1 Cr 0.000 0.000 0.000
2 Tc 0.500 0.500 0.500
3 As 0.000 0.500 0.000
4 As 0.500 0.000 0.000
5 Br 0.000 0.000 0.500

=====

Entry 29:
CrTeAsBr2 | SCAN | single point on PBEsol structure

## Properties
**SG**: P4/mmm (123)
**ΔE_f (raw)**: 16 meV per atom
**Offset from the most stable computed form**: 0.00 kJ per mole of atoms
**E_tot**: -114.66 eV per cell
**Fermi-level density of states**: 2.7 states/eV/cell
**Magnetization**: 2.32 μB/f.u.

abc: 4.776 4.776 5.214
angles: 90.00 90.00 90.00
Fractional coordinates of all 5 atoms:
1 Cr 0.000 0.000 0.000
2 Te 0.500 0.500 0.500
3 As 0.000 0.000 0.500
4 Br 0.000 0.500 0.000
5 Br 0.500 0.000 0.000